No. 1
A relaxed Th3Si4Au crystal. Source: Alexandria, functional PBE-GGA.

a b c (Å): 8.240 8.240 8.240
angles (deg): 148.98 137.54 53.51
Element x y z (fractional)
Th 0.000 0.000 0.000
Th 0.313 0.813 0.500
Th 0.687 0.187 0.500
Si 0.075 0.376 0.699
Si 0.323 0.624 0.699
Si 0.677 0.376 0.301
Si 0.925 0.624 0.301
Au 0.500 0.500 0.000

Values from the calculation:
SG: Immm, No. 71

No. 2
A relaxed Th3Si4Au2 crystal. Source: Alexandria, functional PBE-GGA.

a b c (Å): 5.956 5.956 8.386
angles (deg): 99.91 99.91 41.86
Element x y z (fractional)
Th 0.000 0.000 0.000
Th 0.335 0.335 0.325
Th 0.665 0.665 0.675
Si 0.061 0.061 0.399
Si 0.276 0.276 0.949
Si 0.724 0.724 0.051
Si 0.939 0.939 0.601
Au 0.387 0.387 0.720
Au 0.613 0.613 0.280

Values from the calculation:
SG: C2/m, No. 12

No. 3
A relaxed ThSiAu2 crystal. Source: Alexandria, functional PBE-GGA.

a b c (Å): 4.374 6.567 6.567
angles (deg): 115.01 90.00 90.00
Element x y z (fractional)
Th 0.250 0.160 0.840
Th 0.750 0.840 0.160
Si 0.250 0.651 0.800
Si 0.750 0.800 0.651
Au 0.250 0.193 0.365
Au 0.250 0.679 0.402
Au 0.750 0.365 0.193
Au 0.750 0.402 0.679

Values from the calculation:
SG: Ama2, No. 40

No. 4
A relaxed Th2Si2Au3 crystal. Source: Alexandria, functional PBE-GGA.

a b c (Å): 5.862 5.862 6.468
angles (deg): 94.27 94.27 42.67
Element x y z (fractional)
Th 0.136 0.136 0.323
Th 0.864 0.864 0.677
Si 0.423 0.423 0.358
Si 0.577 0.577 0.642
Au 0.179 0.179 0.841
Au 0.500 0.500 0.000
Au 0.821 0.821 0.159

Values from the calculation:
SG: C2/m, No. 12

No. 5
A relaxed Th2Si7Au12 crystal. Source: Alexandria, functional PBE-GGA.

a b c (Å): 10.101 10.101 4.464
angles (deg): 90.00 90.00 120.00
Element x y z (fractional)
Th 0.333 0.667 0.260
Th 0.667 0.333 0.740
Si 0.000 0.000 0.000
Si 0.111 0.391 0.798
Si 0.280 0.889 0.798
Si 0.391 0.280 0.202
Si 0.609 0.720 0.798
Si 0.720 0.111 0.202
Si 0.889 0.609 0.202
Au 0.075 0.612 0.738
Au 0.127 0.861 0.295
Au 0.139 0.265 0.295
Au 0.265 0.127 0.705
Au 0.388 0.462 0.738
Au 0.462 0.075 0.262
Au 0.538 0.925 0.738
Au 0.612 0.538 0.262
Au 0.735 0.873 0.295
Au 0.861 0.735 0.705
Au 0.873 0.139 0.705
Au 0.925 0.388 0.262

Values from the calculation:
SG: P-3, No. 147

No. 6
A relaxed Th2Si3Au5 crystal. Source: Alexandria, functional PBE-GGA.

a b c (Å): 8.722 8.722 8.722
angles (deg): 108.72 86.11 138.32
Element x y z (fractional)
Th 0.129 0.239 0.368
Th 0.371 0.739 0.110
Th 0.629 0.261 0.890
Th 0.871 0.761 0.632
Si 0.121 0.639 0.759
Si 0.250 0.250 0.000
Si 0.379 0.139 0.518
Si 0.621 0.861 0.482
Si 0.750 0.750 0.000
Si 0.879 0.361 0.241
Au 0.020 0.750 0.270
Au 0.115 0.875 0.990
Au 0.250 0.750 0.500
Au 0.385 0.375 0.760
Au 0.480 0.750 0.730
Au 0.520 0.250 0.270
Au 0.615 0.625 0.240
Au 0.750 0.250 0.500
Au 0.885 0.125 0.010
Au 0.980 0.250 0.730

Values from the calculation:
SG: Ibam, No. 72

No. 7
A relaxed ThSiAu2 crystal. Source: Alexandria, functional PBE-GGA.

a b c (Å): 4.871 4.871 4.871
angles (deg): 62.65 62.65 62.65
Element x y z (fractional)
Th 0.000 0.000 0.000
Si 0.500 0.500 0.500
Au 0.260 0.260 0.260
Au 0.740 0.740 0.740

Values from the calculation:
SG: R-3m, No. 166

No. 8
A relaxed Th2SiAu crystal. Source: Alexandria, functional PBE-GGA.

a b c (Å): 7.876 7.876 7.876
angles (deg): 30.41 30.41 30.41
Element x y z (fractional)
Th 0.244 0.244 0.244
Th 0.756 0.756 0.756
Si 0.500 0.500 0.500
Au 0.000 0.000 0.000

Values from the calculation:
SG: R-3m, No. 166

Computed values of E (unit: eV for the cell shown) for the preceding records, in sequence: -51.4, -57.5, -43.0, -39.8, -96.8, -105.9, -21.1, -25.8.